# YErTm2S4 PBE optimized geometry
# D(E_F)   0.60 states/eV per atom
# Raw total energy   -52.08 eV/cell
# Symmetry   P2/m
data_YErTm2S4
_cell_length_a 6.710
_cell_length_b 3.832
_cell_length_c 6.728
_cell_angle_alpha 90.00
_cell_angle_beta 109.06
_cell_angle_gamma 90.00
_symmetry_space_group_name_H-M 'P 1'
_symmetry_Int_Tables_number 1
_symmetry_space_group_name_Hall 'P 1'
loop_
_atom_site_label
_atom_site_type_symbol
_atom_site_fract_x
_atom_site_fract_y
_atom_site_fract_z
Y1 Y 0.000 0.000 0.000
Er1 Er 0.500 0.500 0.000
Tm1 Tm 0.000 0.500 0.500
Tm2 Tm 0.500 0.000 0.500
S1 S 0.251 0.000 0.746
S2 S 0.254 0.500 0.256
S3 S 0.746 0.500 0.744
S4 S 0.749 0.000 0.254